Entry 1:
Entry from Alexandria via LeMat-Bulk: a relaxed MnRh2Pb crystal (PBE).

Results
Formation enthalpy at 0 K = 0.653 eV/atom
Total magnetic moment = 0.16 μB/f.u.
ρ = 11.1 g/cm3
Symmetry = No. 122

abc: 4.0238 4.0238 9.1359
angles: 77.28 77.28 90.00
Each line ends with the local moment (μB).
Positions (direct):
Pb  0.0000  0.0000  0.0000  0.01
Pb  0.7500  0.2500  0.5000  0.01
Mn  0.5000  0.5000  0.0000  -0.16
Mn  0.2500  0.7500  0.5000  -0.18
Rh  0.5801  0.1250  0.2500  0.00
Rh  0.1699  0.6250  0.2500  0.00
Rh  0.3750  0.4199  0.7500  0.00
Rh  0.8750  0.8301  0.7500  0.00

***

Entry 2:
Entry from Alexandria via LeMat-Bulk: a relaxed LaCe2Hg2Au2 crystal (PBE).

Results
Formation enthalpy at 0 K = -0.439 eV/atom
Total magnetic moment = 0.91 μB/f.u.
ρ = 11.5 g/cm3
Symmetry = No. 166

abc: 4.8460 4.8460 9.0891
angles: 74.54 74.54 60.00
Each line ends with the local moment (μB).
Positions (direct):
La  0.0000  0.0000  0.0000  0.01
Ce  0.1419  0.1419  0.5742  0.40
Ce  0.8581  0.8581  0.4258  0.40
Hg  0.7323  0.7323  0.8031  0.00
Hg  0.2677  0.2677  0.1969  0.00
Au  0.5666  0.5666  0.3001  -0.01
Au  0.4334  0.4334  0.6999  -0.01